No. 1
CuCBr2 | GGA-PBE | relaxed

The structure in CIF format:
```
data_CuCBr2
_chemical_formula_sum 'Cu4 C4 Br8'
_space_group_name_H-M_alt 'F m -3 m'
_space_group_IT_number 225
_space_group_name_Hall '-F 4 2 3'
_cell_length_a 6.5524
_cell_length_b 6.5524
_cell_length_c 6.5524
_cell_angle_alpha 90.00
_cell_angle_beta 90.00
_cell_angle_gamma 90.00
loop_
_atom_site_label
_atom_site_type_symbol
_atom_site_fract_x
_atom_site_fract_y
_atom_site_fract_z
Cu1 Cu 0.0000 0.0000 0.0000
C1 C 0.0000 0.0000 0.5000
Br1 Br 0.2500 0.2500 0.2500
```

Values from the calculation:
raw formation energy: 1.739 eV per atom
spin magnetization: 0.75 μB per formula unit

---

No. 2
Mg3Cu5I12 | GGA-PBE | relaxed

The structure in CIF format:
```
data_Mg3Cu5I12
_chemical_formula_sum 'Mg24 Cu40 I96'
_space_group_name_H-M_alt 'I a -3 d'
_space_group_IT_number 230
_space_group_name_Hall '-I 4bd 2c 3'
_cell_length_a 17.1588
_cell_length_b 17.1588
_cell_length_c 17.1588
_cell_angle_alpha 90.00
_cell_angle_beta 90.00
_cell_angle_gamma 90.00
loop_
_atom_site_label
_atom_site_type_symbol
_atom_site_fract_x
_atom_site_fract_y
_atom_site_fract_z
Mg1 Mg 0.0000 0.2500 0.1250
Cu1 Cu 0.0000 0.0000 0.0000
Cu2 Cu 0.0000 0.2500 0.3750
I1 I 0.0254 0.0567 0.6530
```

Values from the calculation:
raw formation energy: -0.331 eV per atom
spin magnetization: 0.00 μB per formula unit

---

No. 3
NpCuGe | GGA-PBE | relaxed

The structure in CIF format:
```
data_NpCuGe
_chemical_formula_sum 'Np6 Cu6 Ge6'
_space_group_name_H-M_alt 'R -3 m'
_space_group_IT_number 166
_space_group_name_Hall '-R 3 2"'
_cell_length_a 3.6262
_cell_length_b 3.6262
_cell_length_c 27.6021
_cell_angle_alpha 90.00
_cell_angle_beta 90.00
_cell_angle_gamma 120.00
loop_
_atom_site_label
_atom_site_type_symbol
_atom_site_fract_x
_atom_site_fract_y
_atom_site_fract_z
Np1 Np 0.0000 0.0000 0.1430
Cu1 Cu 0.0000 0.0000 0.3082
Ge1 Ge 0.0000 0.0000 0.4009
```

Values from the calculation:
spin magnetization: 0.00 μB per formula unit
formation energy from the elements: 0.49 kcal/mol of atoms

---

No. 4
ReNiRu2 | GGA-PBE | relaxed

The structure in CIF format:
```
data_ReNiRu2
_chemical_formula_sum 'Re2 Ni2 Ru4'
_space_group_name_H-M_alt 'C 1 2/m 1'
_space_group_IT_number 12
_cell_length_a 8.8049
_cell_length_b 2.6881
_cell_length_c 4.6486
_cell_angle_alpha 90.00
_cell_angle_beta 99.52
_cell_angle_gamma 90.00
loop_
_space_group_symop_operation_xyz
'x,y,z'
'-x,-y,-z'
'-x,y,-z'
'x,-y,z'
'x+1/2,y+1/2,z'
'-x+1/2,-y+1/2,-z'
'-x+1/2,y+1/2,-z'
'x+1/2,-y+1/2,z'
loop_
_atom_site_label
_atom_site_type_symbol
_atom_site_fract_x
_atom_site_fract_y
_atom_site_fract_z
Re1 Re 0.0000 0.0000 0.0000
Ni1 Ni 0.0000 0.5000 0.5000
Ru1 Ru 0.2484 0.5000 0.2555
```

Values from the calculation:
spin magnetization: 0.00 μB per formula unit
formation energy from the elements: 1.89 kcal/mol of atoms

---

No. 5
BeCdCo2 | GGA-PBE | relaxed

The structure in CIF format:
```
data_BeCdCo2
_chemical_formula_sum 'Be3 Cd3 Co6'
_space_group_name_H-M_alt 'R -3 m'
_space_group_IT_number 166
_space_group_name_Hall '-R 3 2"'
_cell_length_a 2.7143
_cell_length_b 2.7143
_cell_length_c 23.4292
_cell_angle_alpha 90.00
_cell_angle_beta 90.00
_cell_angle_gamma 120.00
loop_
_atom_site_label
_atom_site_type_symbol
_atom_site_fract_x
_atom_site_fract_y
_atom_site_fract_z
Be1 Be 0.0000 0.0000 0.0000
Cd1 Cd 0.0000 0.0000 0.5000
Co1 Co 0.0000 0.0000 0.2654
```

Values from the calculation:
spin magnetization: 1.98 μB per formula unit
formation energy from the elements: 6.64 kcal/mol of atoms

---

No. 6
Pm4SnTe2As | GGA-PBE | relaxed

The structure in CIF format:
```
data_Pm4SnTe2As
_chemical_formula_sum 'Pm4 Sn1 Te2 As1'
_space_group_name_H-M_alt 'P 1 2/m 1'
_space_group_IT_number 10
_cell_length_a 7.6517
_cell_length_b 4.4111
_cell_length_c 7.7181
_cell_angle_alpha 90.00
_cell_angle_beta 109.22
_cell_angle_gamma 90.00
loop_
_space_group_symop_operation_xyz
'x,y,z'
'-x,-y,-z'
'-x,y,-z'
'x,-y,z'
loop_
_atom_site_label
_atom_site_type_symbol
_atom_site_fract_x
_atom_site_fract_y
_atom_site_fract_z
Pm1 Pm 0.2356 0.0000 0.2271
Pm2 Pm 0.2483 0.5000 0.7655
Sn1 Sn 0.5000 0.0000 0.0000
Te1 Te 0.0000 0.0000 0.5000
Te2 Te 0.5000 0.5000 0.5000
As1 As 0.0000 0.5000 0.0000
```

Values from the calculation:
raw formation energy: -1.326 eV per atom
spin magnetization: 0.00 μB per formula unit

---

No. 7
NaGa2Re | GGA-PBE | relaxed

The structure in CIF format:
```
data_NaGa2Re
_chemical_formula_sum 'Na4 Ga8 Re4'
_space_group_name_H-M_alt 'F m -3 m'
_space_group_IT_number 225
_space_group_name_Hall '-F 4 2 3'
_cell_length_a 6.3730
_cell_length_b 6.3730
_cell_length_c 6.3730
_cell_angle_alpha 90.00
_cell_angle_beta 90.00
_cell_angle_gamma 90.00
loop_
_atom_site_label
_atom_site_type_symbol
_atom_site_fract_x
_atom_site_fract_y
_atom_site_fract_z
Na1 Na 0.0000 0.0000 0.0000
Ga1 Ga 0.2500 0.2500 0.2500
Re1 Re 0.0000 0.0000 0.5000
```

Values from the calculation:
spin magnetization: 0.00 μB per formula unit
formation energy from the elements: 8.78 kcal/mol of atoms

---

No. 8
Tm5Mg5Cd2 | GGA-PBE | relaxed

The structure in CIF format:
```
data_Tm5Mg5Cd2
_chemical_formula_sum 'Tm10 Mg10 Cd4'
_space_group_name_H-M_alt 'C 1 2/m 1'
_space_group_IT_number 12
_cell_length_a 9.0015
_cell_length_b 5.1922
_cell_length_c 13.9738
_cell_angle_alpha 90.00
_cell_angle_beta 102.19
_cell_angle_gamma 90.00
loop_
_space_group_symop_operation_xyz
'x,y,z'
'-x,-y,-z'
'-x,y,-z'
'x,-y,z'
'x+1/2,y+1/2,z'
'-x+1/2,-y+1/2,-z'
'-x+1/2,y+1/2,-z'
'x+1/2,-y+1/2,z'
loop_
_atom_site_label
_atom_site_type_symbol
_atom_site_fract_x
_atom_site_fract_y
_atom_site_fract_z
Tm1 Tm 0.0000 0.0000 0.0000
Tm2 Tm 0.1057 0.5000 0.8174
Tm3 Tm 0.1448 0.0000 0.4334
Mg1 Mg 0.0000 0.5000 0.5000
Mg2 Mg 0.1922 0.5000 0.0766
Mg3 Mg 0.2268 0.0000 0.6809
Cd1 Cd 0.0726 0.0000 0.2173
```

Values from the calculation:
spin magnetization: 0.00 μB per formula unit
formation energy from the elements: -0.65 kcal/mol of atoms